1.
The following is a PBE-GGA calculation of a relaxed Ni3Ru5 crystal, from Alexandria via LeMat-Bulk.

Geometry as CIF:
```
data_Ni3Ru5
_cell_length_a 7.1145
_cell_length_b 7.1145
_cell_length_c 4.8011
_cell_angle_alpha 90.00
_cell_angle_beta 90.00
_cell_angle_gamma 60.00
_symmetry_space_group_name_H-M 'P 1'
_symmetry_Int_Tables_number 1
loop_
_symmetry_equiv_pos_as_xyz
'x,y,z'
loop_
_atom_site_label
_atom_site_type_symbol
_atom_site_fract_x
_atom_site_fract_y
_atom_site_fract_z
Ru1 Ru 0.7749 0.2251 0.2500
Ru2 Ru 0.2252 0.7749 0.7500
Ru3 Ru 0.2252 0.0000 0.2500
Ru4 Ru 0.0000 0.2251 0.7500
Ru5 Ru 0.6667 0.6667 0.0000
Ru6 Ru 0.6667 0.6667 0.5000
Ru7 Ru 0.3333 0.3333 0.0000
Ru8 Ru 0.3333 0.3333 0.5000
Ru9 Ru 0.7749 0.0000 0.7500
Ru10 Ru 0.0000 0.7749 0.2500
Ni1 Ni 0.5991 0.4009 0.7500
Ni2 Ni 0.4009 0.5991 0.2500
Ni3 Ni 0.4009 0.0000 0.7500
Ni4 Ni 0.0000 0.4009 0.2500
Ni5 Ni 0.5991 0.0000 0.2500
Ni6 Ni 0.0000 0.5991 0.7500
```

Its space-group type is P6_3/mcm, No. 193. For the total magnetic moment, the calculation gives 0.000 μB per atom. The value obtained for the energy relative to the elements is 0.36 eV per atom.

---

2.
The following is a PBE-GGA calculation of a relaxed NiRu crystal, from Alexandria via LeMat-Bulk.

Geometry as CIF:
```
data_NiRu
_cell_length_a 2.6549
_cell_length_b 2.6549
_cell_length_c 4.1275
_cell_angle_alpha 90.00
_cell_angle_beta 90.00
_cell_angle_gamma 120.00
_symmetry_space_group_name_H-M 'P 1'
_symmetry_Int_Tables_number 1
loop_
_symmetry_equiv_pos_as_xyz
'x,y,z'
loop_
_atom_site_label
_atom_site_type_symbol
_atom_site_fract_x
_atom_site_fract_y
_atom_site_fract_z
Ru1 Ru 0.6667 0.3333 0.7500
Ni1 Ni 0.3333 0.6667 0.2500
```

Its space-group type is P-6m2, No. 187. For the total magnetic moment, the calculation gives 0.000 μB per atom. The value obtained for the energy relative to the elements is 0.15 eV per atom.

---

3.
The following is a PBE-GGA calculation of a relaxed Ni2Ru crystal, from Alexandria via LeMat-Bulk.

Geometry as CIF:
```
data_Ni2Ru
_cell_length_a 4.1541
_cell_length_b 4.1541
_cell_length_c 5.0067
_cell_angle_alpha 90.00
_cell_angle_beta 90.00
_cell_angle_gamma 120.00
_symmetry_space_group_name_H-M 'P 1'
_symmetry_Int_Tables_number 1
loop_
_symmetry_equiv_pos_as_xyz
'x,y,z'
loop_
_atom_site_label
_atom_site_type_symbol
_atom_site_fract_x
_atom_site_fract_y
_atom_site_fract_z
Ni1 Ni 0.0000 0.0000 0.0000
Ni2 Ni 0.0000 0.0000 0.5000
Ni3 Ni 0.3333 0.6667 0.2500
Ni4 Ni 0.6667 0.3333 0.7500
Ru1 Ru 0.3333 0.6667 0.7500
Ru2 Ru 0.6667 0.3333 0.2500
```

Its space-group type is P6_3/mmc, No. 194. For the total magnetic moment, the calculation gives 0.946 μB per atom. The value obtained for the energy relative to the elements is 0.31 eV per atom.

---

4.
The following is a PBE-GGA calculation of a relaxed Ni3Ru2 crystal, from Alexandria via LeMat-Bulk.

Geometry as CIF:
```
data_Ni3Ru2
_cell_length_a 10.5452
_cell_length_b 10.5452
_cell_length_c 10.5452
_cell_angle_alpha 14.24
_cell_angle_beta 14.24
_cell_angle_gamma 14.24
_symmetry_space_group_name_H-M 'P 1'
_symmetry_Int_Tables_number 1
loop_
_symmetry_equiv_pos_as_xyz
'x,y,z'
loop_
_atom_site_label
_atom_site_type_symbol
_atom_site_fract_x
_atom_site_fract_y
_atom_site_fract_z
Ni1 Ni 0.0000 0.0000 0.0000
Ni2 Ni 0.8013 0.8013 0.8013
Ni3 Ni 0.1987 0.1987 0.1987
Ru1 Ru 0.5989 0.5989 0.5989
Ru2 Ru 0.4011 0.4011 0.4011
```

Its space-group type is R-3m, No. 166. For the total magnetic moment, the calculation gives 0.157 μB per atom. The value obtained for the energy relative to the elements is 0.17 eV per atom.